[1]
# YZnCo GGA-PBEsol relaxed
data_YZnCo
_cell_length_a 6.290
_cell_length_b 6.290
_cell_length_c 6.290
_cell_angle_alpha 90.00
_cell_angle_beta 90.00
_cell_angle_gamma 90.00
_space_group_name_H-M_alt 'F -4 3 m'
_space_group_IT_number 216
_space_group_name_Hall 'F -4 2 3'
loop_
_atom_site_label
_atom_site_type_symbol
_atom_site_fract_x
_atom_site_fract_y
_atom_site_fract_z
Y1 Y 0.000 0.000 0.000
Zn1 Zn 0.250 0.250 0.750
Co1 Co 0.250 0.250 0.250
# - E_form: 0.66 eV/atom
# - Size of the total moment: 0.00 μB/atom

***

[2]
# YZn2Co GGA-PBEsol relaxed
data_YZn2Co
_cell_length_a 4.0496
_cell_length_b 4.0496
_cell_length_c 14.4951
_cell_angle_alpha 90.00
_cell_angle_beta 90.00
_cell_angle_gamma 120.00
_space_group_name_H-M_alt 'R -3 m'
_space_group_IT_number 166
_space_group_name_Hall '-R 3 2"'
loop_
_atom_site_label
_atom_site_type_symbol
_atom_site_fract_x
_atom_site_fract_y
_atom_site_fract_z
Y1 Y 0.0000 0.0000 0.0000
Zn1 Zn 0.0000 0.0000 0.2073
Co1 Co 0.0000 0.0000 0.5000
# - E_form: -0.16 eV/atom
# - Size of the total moment: 0.00 μB/atom

***

[3]
# YZnCo2 GGA-PBEsol relaxed
data_YZnCo2
_cell_length_a 3.9724
_cell_length_b 3.9724
_cell_length_c 14.2779
_cell_angle_alpha 90.00
_cell_angle_beta 90.00
_cell_angle_gamma 120.00
_space_group_name_H-M_alt 'R 3 m'
_space_group_IT_number 160
_space_group_name_Hall 'R 3 -2"'
loop_
_atom_site_label
_atom_site_type_symbol
_atom_site_fract_x
_atom_site_fract_y
_atom_site_fract_z
Y1 Y 0.0000 0.0000 0.0000
Zn1 Zn 0.0000 0.0000 0.8004
Co1 Co 0.0000 0.0000 0.2025
Co2 Co 0.0000 0.0000 0.5315
# - E_form: -0.15 eV/atom
# - Size of the total moment: 0.52 μB/atom

***

[4]
# YZn2Co GGA-PBEsol relaxed
data_YZn2Co
_cell_length_a 4.334
_cell_length_b 4.673
_cell_length_c 6.346
_cell_angle_alpha 90.00
_cell_angle_beta 90.00
_cell_angle_gamma 90.00
_space_group_name_H-M_alt 'I m m 2'
_space_group_IT_number 44
_space_group_name_Hall 'I 2 -2'
loop_
_atom_site_label
_atom_site_type_symbol
_atom_site_fract_x
_atom_site_fract_y
_atom_site_fract_z
Y1 Y 0.000 0.000 0.000
Zn1 Zn 0.000 0.000 0.507
Zn2 Zn 0.000 0.500 0.775
Co1 Co 0.000 0.500 0.222
# - E_form: -0.06 eV/atom
# - Size of the total moment: 0.13 μB/atom

***

[5]
# Y2ZnCo GGA-PBEsol relaxed
data_Y2ZnCo
_cell_length_a 3.380
_cell_length_b 3.380
_cell_length_c 6.891
_cell_angle_alpha 90.00
_cell_angle_beta 90.00
_cell_angle_gamma 90.00
_space_group_name_H-M_alt 'P 4/m m m'
_space_group_IT_number 123
_space_group_name_Hall '-P 4 2'
loop_
_atom_site_label
_atom_site_type_symbol
_atom_site_fract_x
_atom_site_fract_y
_atom_site_fract_z
Y1 Y 0.000 0.000 0.231
Zn1 Zn 0.500 0.500 0.500
Co1 Co 0.500 0.500 0.000
# - E_form: -0.24 eV/atom
# - Size of the total moment: 0.10 μB/atom

***

[6]
# YZrCo4 GGA-PBEsol relaxed
data_YZrCo4
_cell_length_a 6.885
_cell_length_b 6.885
_cell_length_c 6.885
_cell_angle_alpha 90.00
_cell_angle_beta 90.00
_cell_angle_gamma 90.00
_space_group_name_H-M_alt 'F -4 3 m'
_space_group_IT_number 216
_space_group_name_Hall 'F -4 2 3'
loop_
_atom_site_label
_atom_site_type_symbol
_atom_site_fract_x
_atom_site_fract_y
_atom_site_fract_z
Y1 Y 0.000 0.000 0.000
Zr1 Zr 0.250 0.250 0.250
Co1 Co 0.125 0.125 0.625
# - E_form: -0.25 eV/atom
# - Size of the total moment: 0.00 μB/atom

***

[7]
# ZnCo3 GGA-PBEsol relaxed
data_ZnCo3
_cell_length_a 2.515
_cell_length_b 2.515
_cell_length_c 6.916
_cell_angle_alpha 90.00
_cell_angle_beta 90.00
_cell_angle_gamma 90.00
_space_group_name_H-M_alt 'P 4/m m m'
_space_group_IT_number 123
_space_group_name_Hall '-P 4 2'
loop_
_atom_site_label
_atom_site_type_symbol
_atom_site_fract_x
_atom_site_fract_y
_atom_site_fract_z
Zn1 Zn 0.000 0.000 0.000
Co1 Co 0.000 0.000 0.500
Co2 Co 0.500 0.500 0.264
# - E_form: 0.01 eV/atom
# - Size of the total moment: 1.08 μB/atom

***

[8]
# Zn2Co GGA-PBEsol relaxed
data_Zn2Co
_cell_length_a 4.055
_cell_length_b 4.055
_cell_length_c 2.597
_cell_angle_alpha 90.00
_cell_angle_beta 90.00
_cell_angle_gamma 90.00
_space_group_name_H-M_alt 'P 4/m m m'
_space_group_IT_number 123
_space_group_name_Hall '-P 4 2'
loop_
_atom_site_label
_atom_site_type_symbol
_atom_site_fract_x
_atom_site_fract_y
_atom_site_fract_z
Zn1 Zn 0.000 0.500 0.000
Co1 Co 0.000 0.000 0.500
# - E_form: 0.00 eV/atom
# - Size of the total moment: 0.07 μB/atom